Here is crystalline Pm7Dy6Y16 at its relaxed geometry from Alexandria via LeMat-Bulk. Energies are from GGA-PBE.

CIF file:
```
data_Pm7Dy6Y16
_cell_length_a 15.7018
_cell_length_b 15.7018
_cell_length_c 15.7018
_cell_angle_alpha 90.00
_cell_angle_beta 90.00
_cell_angle_gamma 90.00
_symmetry_space_group_name_H-M 'F m -3 m'
_symmetry_Int_Tables_number 225
_symmetry_space_group_name_Hall '-F 4 2 3'
loop_
_atom_site_label
_atom_site_fract_x
_atom_site_fract_y
_atom_site_fract_z
_atom_site_occupancy
Pm1 0.0000 0.0000 0.0000 1
Pm2 0.0000 0.2500 0.2500 1
Dy1 0.0000 0.0000 0.2238 1
Y1 0.1132 0.1132 0.3868 1
Y2 0.1497 0.1497 0.1497 1
```

Calculated values
**Formation enthalpy at 0 K**: 5.226 eV/f.u.
**Magnetization**: 0.00 μB per formula unit